# 1
{
  "formula": "RbNaSbI2",
  "functional": "PBE",
  "state": "relaxed",
  "volume_a3_per_fu": 236.19,
  "sg": "P4/mmm",
  "formation_energy_uncorrected_mev_per_atom": -448,
  "total_energy_ev_per_atom": -2.350,
  "lattice": [[6.2238, 0.0000, 0.0000], [0.0000, 6.2238, 0.0000], [0.0000, 0.0000, 6.0976]],
  "species": ["Rb", "Na", "Sb", "I", "I"],
  "fractional_positions": [[0.0000, 0.0000, 0.0000], [0.5000, 0.5000, 0.5000], [0.5000, 0.5000, 0.0000], [0.0000, 0.5000, 0.5000], [0.5000, 0.0000, 0.5000]]
}



# 2
{
  "formula": "Si3SbS",
  "functional": "PBE",
  "state": "relaxed",
  "volume_a3_per_fu": 105.07,
  "sg": "Pm-3m",
  "formation_energy_uncorrected_mev_per_atom": 746,
  "total_energy_ev_per_atom": -4.158,
  "lattice": [[4.7188, 0.0000, 0.0000], [0.0000, 4.7188, 0.0000], [0.0000, 0.0000, 4.7188]],
  "species": ["Si", "Si", "Si", "Sb", "S"],
  "fractional_positions": [[0.0000, 0.0000, 0.5000], [0.0000, 0.5000, 0.0000], [0.5000, 0.0000, 0.0000], [0.5000, 0.5000, 0.5000], [0.0000, 0.0000, 0.0000]]
}



# 3
{
  "formula": "NaSb2Ir",
  "functional": "PBE",
  "state": "relaxed",
  "volume_a3_per_fu": 104.77,
  "sg": "I-42d",
  "formation_energy_uncorrected_mev_per_atom": -45,
  "total_energy_ev_per_atom": -4.651,
  "lattice": [[8.4700, 0.0000, 0.0000], [0.0000, 8.4700, 0.0000], [0.0000, 0.0000, 5.8417]],
  "species": ["Na", "Na", "Na", "Na", "Sb", "Sb", "Sb", "Sb", "Sb", "Sb", "Sb", "Sb", "Ir", "Ir", "Ir", "Ir"],
  "fractional_positions": [[0.0000, 0.0000, 0.0000], [0.0000, 0.5000, 0.2500], [0.5000, 0.0000, 0.7500], [0.5000, 0.5000, 0.5000], [0.1572, 0.7500, 0.6250], [0.2500, 0.1572, 0.3750], [0.2500, 0.3428, 0.8750], [0.3428, 0.7500, 0.1250], [0.6572, 0.2500, 0.1250], [0.7500, 0.6572, 0.8750], [0.7500, 0.8428, 0.3750], [0.8428, 0.2500, 0.6250], [0.0000, 0.0000, 0.5000], [0.0000, 0.5000, 0.7500], [0.5000, 0.0000, 0.2500], [0.5000, 0.5000, 0.0000]]
}



# 4
{
  "formula": "Rb2PtRhF6",
  "functional": "PBE",
  "state": "relaxed",
  "volume_a3_per_fu": 166.55,
  "sg": "I4/mmm",
  "formation_energy_uncorrected_mev_per_atom": -1705,
  "total_energy_ev_per_atom": -4.361,
  "lattice": [[-3.0926, 3.0926, 4.3536], [3.0926, -3.0926, 4.3536], [3.0926, 3.0926, -4.3536]],
  "species": ["Rb", "Rb", "Pt", "Rh", "F", "F", "F", "F", "F", "F"],
  "fractional_positions": [[0.2500, 0.7500, 0.5000], [0.7500, 0.2500, 0.5000], [0.0000, 0.0000, 0.0000], [0.5000, 0.5000, 0.0000], [0.2583, 0.2583, 0.0000], [0.2597, 0.2597, 0.5195], [0.2597, 0.7403, 0.0000], [0.7403, 0.2597, 0.0000], [0.7403, 0.7403, 0.4805], [0.7417, 0.7417, 0.0000]]
}



# 5
{
  "formula": "TlOs3",
  "functional": "PBE",
  "state": "relaxed",
  "volume_a3_per_fu": 64.63,
  "sg": "P6_3/mmc",
  "e_form_ev_per_atom": 1.072,
  "total_energy_ev_per_atom": -7.942,
  "lattice": [[5.7845, 0.0000, 0.0000], [-2.8923, 5.0095, 0.0000], [0.0000, 0.0000, 4.4609]],
  "species": ["Tl", "Tl", "Os", "Os", "Os", "Os", "Os", "Os"],
  "fractional_positions": [[0.3333, 0.6667, 0.2500], [0.6667, 0.3333, 0.7500], [0.1632, 0.3265, 0.7500], [0.1632, 0.8368, 0.7500], [0.3265, 0.1632, 0.2500], [0.6735, 0.8368, 0.7500], [0.8368, 0.1632, 0.2500], [0.8368, 0.6735, 0.2500]]
}



# 6
{
  "formula": "AcZnCd2Pd",
  "functional": "PBE",
  "state": "relaxed",
  "volume_a3_per_fu": 120.71,
  "sg": "Imm2",
  "e_form_ev_per_atom": -0.409,
  "total_energy_ev_per_atom": -2.890,
  "lattice": [[4.2849, 0.0000, 0.0000], [0.0000, 4.4051, 0.0000], [0.0000, 0.0000, 12.7903]],
  "species": ["Ac", "Ac", "Zn", "Zn", "Cd", "Cd", "Cd", "Cd", "Pd", "Pd"],
  "fractional_positions": [[0.0000, 0.0000, 0.0000], [0.5000, 0.5000, 0.5000], [0.0000, 0.5000, 0.7167], [0.5000, 0.0000, 0.2167], [0.0000, 0.0000, 0.3698], [0.0000, 0.5000, 0.2286], [0.5000, 0.0000, 0.7286], [0.5000, 0.5000, 0.8698], [0.0000, 0.0000, 0.5870], [0.5000, 0.5000, 0.0870]]
}



# 7
{
  "formula": "AlHgGeBr2",
  "functional": "PBE",
  "state": "relaxed",
  "volume_a3_per_fu": 174.36,
  "sg": "P4/mmm",
  "formation_energy_uncorrected_mev_per_atom": 531,
  "total_energy_ev_per_atom": -1.870,
  "lattice": [[5.8872, 0.0000, 0.0000], [0.0000, 5.8872, 0.0000], [0.0000, 0.0000, 5.0306]],
  "species": ["Al", "Hg", "Ge", "Br", "Br"],
  "fractional_positions": [[0.0000, 0.0000, 0.0000], [0.0000, 0.0000, 0.5000], [0.5000, 0.5000, 0.0000], [0.0000, 0.5000, 0.5000], [0.5000, 0.0000, 0.5000]]
}



# 8
{
  "formula": "GaCo3Cu",
  "functional": "PBE",
  "state": "relaxed",
  "volume_a3_per_fu": 79.41,
  "sg": "Pm-3m",
  "e_form_ev_per_atom": 1.142,
  "total_energy_ev_per_atom": -4.547,
  "lattice": [[4.2982, 0.0000, 0.0000], [0.0000, 4.2982, 0.0000], [0.0000, 0.0000, 4.2982]],
  "species": ["Ga", "Co", "Co", "Co", "Cu"],
  "fractional_positions": [[0.0000, 0.0000, 0.0000], [0.0000, 0.5000, 0.5000], [0.5000, 0.0000, 0.5000], [0.5000, 0.5000, 0.0000], [0.5000, 0.5000, 0.5000]]
}